# 1
Computed, not measured: Tb3Hf5O12 after structural relaxation at the GGA-PBE level of DFT.

Space group: Ia-3d (230)
DOS(E_F): 0.245 states/eV per atom
Formation energy (no corrections): -3049.9 meV/atom

a = 11.4719 Å, b = 11.4719 Å, c = 11.4719 Å
α = 109.47°, β = 109.47°, γ = 109.47°
With the nearest neighbours (Å) after each atom.
Element x y z (fractional)
1 O 0.9436 0.1106 0.6405  2 Hf 2.04-2.12
2 O 0.6106 0.9701 0.6670  2 Hf 2.04-2.12
3 O 0.0299 0.6405 0.6969  2 Hf 2.04-2.12
4 O 0.4701 0.6670 0.1106  2 Hf 2.04-2.12
5 O 0.6969 0.1405 0.0299  2 Hf 2.04-2.12
6 O 0.9436 0.8330 0.8031  2 Hf 2.04-2.12
7 O 0.3595 0.9701 0.8031  2 Hf 2.04-2.12
8 O 0.9701 0.6106 0.1670  2 Hf 2.04-2.12
9 O 0.4436 0.3031 0.3330  2 Hf 2.04-2.12
10 O 0.6670 0.4701 0.6106  2 Hf 2.04-2.12
11 O 0.3031 0.8595 0.9701  2 Hf 2.04-2.12
12 O 0.1670 0.1106 0.9701  2 Hf 2.04-2.12
13 O 0.5299 0.3330 0.8894  2 Hf 2.04-2.12
14 O 0.4701 0.8031 0.8595  2 Hf 2.04-2.12
15 O 0.5564 0.8595 0.3894  2 Hf 2.04-2.12
16 O 0.3031 0.4436 0.8330  2 Hf 2.04-2.12
17 O 0.8031 0.4701 0.3595  2 Hf 2.04-2.12
18 O 0.6106 0.6405 0.4436  2 Hf 2.04-2.12
19 O 0.3330 0.5299 0.3894  2 Hf 2.04-2.12
20 O 0.3595 0.3894 0.0564  2 Hf 2.04-2.12
21 O 0.8031 0.3330 0.9436  2 Hf 2.04-2.12
22 O 0.1106 0.9436 0.1405  2 Hf 2.04-2.12
23 O 0.8330 0.8894 0.0299  2 Hf 2.04-2.12
24 O 0.8595 0.3031 0.4701  2 Hf 2.04-2.12
25 O 0.3894 0.3595 0.5564  2 Hf 2.04-2.12
26 O 0.1969 0.6670 0.0564  2 Hf 2.04-2.12
27 O 0.3330 0.8031 0.4436  2 Hf 2.04-2.12
28 O 0.5564 0.6969 0.6670  2 Hf 2.04-2.12
29 O 0.0564 0.8894 0.3595  2 Hf 2.04-2.12
30 O 0.8595 0.5564 0.8894  2 Hf 2.04-2.12
31 O 0.1969 0.5299 0.6405  2 Hf 2.04-2.12
32 O 0.9701 0.3595 0.3031  2 Hf 2.04-2.12
33 O 0.5299 0.1969 0.1405  2 Hf 2.04-2.12
34 O 0.6405 0.6106 0.9436  2 Hf 2.04-2.12
35 O 0.1106 0.1670 0.4701  2 Hf 2.04-2.12
36 O 0.4436 0.1405 0.6106  2 Hf 2.04-2.12
37 O 0.6405 0.0299 0.1969  2 Hf 2.04-2.12
38 O 0.0564 0.1670 0.1969  2 Hf 2.04-2.12
39 O 0.0299 0.3894 0.8330  2 Hf 2.04-2.12
40 O 0.6670 0.1969 0.5564  2 Hf 2.04-2.12
41 O 0.8894 0.0564 0.8595  2 Hf 2.04-2.12
42 O 0.1405 0.6969 0.5299  2 Hf 2.04-2.12
43 O 0.8894 0.8330 0.5299  2 Hf 2.04-2.12
44 O 0.1670 0.0564 0.6969  2 Hf 2.04-2.12
45 O 0.3894 0.0299 0.3330  2 Hf 2.04-2.12
46 O 0.6969 0.5564 0.1670  2 Hf 2.04-2.12
47 O 0.1405 0.4436 0.1106  2 Hf 2.04-2.12
48 O 0.8330 0.9436 0.3031  2 Hf 2.04-2.12
49 Tb 0.3750 0.6250 0.2500  4 O 2.30
50 Tb 0.7500 0.3750 0.1250  4 O 2.30
51 Tb 0.8750 0.1250 0.2500  4 O 2.30
52 Tb 0.7500 0.8750 0.6250  4 O 2.30
53 Tb 0.6250 0.2500 0.3750  4 O 2.30
54 Tb 0.3750 0.7500 0.6250  4 O 2.30
55 Tb 0.1250 0.8750 0.7500  4 O 2.30
56 Tb 0.2500 0.1250 0.3750  4 O 2.30
57 Tb 0.6250 0.3750 0.7500  4 O 2.30
58 Tb 0.2500 0.6250 0.8750  4 O 2.30
59 Tb 0.8750 0.7500 0.1250  4 O 2.30
60 Tb 0.1250 0.2500 0.8750  4 O 2.30
61 Hf 0.7500 0.1250 0.8750  4 O 2.04
62 Hf 0.8750 0.2500 0.6250  4 O 2.04
63 Hf 0.8750 0.6250 0.7500  4 O 2.04
64 Hf 0.5000 0.0000 0.5000  6 O 2.12
65 Hf 0.7500 0.6250 0.3750  4 O 2.04
66 Hf 0.5000 0.0000 0.0000  6 O 2.12
67 Hf 0.6250 0.7500 0.8750  4 O 2.04
68 Hf 0.5000 0.5000 0.5000  6 O 2.12
69 Hf 0.3750 0.2500 0.1250  4 O 2.04
70 Hf 0.5000 0.5000 0.0000  6 O 2.12
71 Hf 0.0000 0.5000 0.0000  6 O 2.12
72 Hf 0.2500 0.8750 0.1250  4 O 2.04
73 Hf 0.3750 0.1250 0.7500  4 O 2.04
74 Hf 0.0000 0.0000 0.0000  6 O 2.12
75 Hf 0.0000 0.5000 0.5000  6 O 2.12
76 Hf 0.2500 0.3750 0.6250  4 O 2.04
77 Hf 0.6250 0.8750 0.2500  4 O 2.04
78 Hf 0.1250 0.7500 0.3750  4 O 2.04
79 Hf 0.1250 0.3750 0.2500  4 O 2.04
80 Hf 0.0000 0.0000 0.5000  6 O 2.12

# 2
Computed, not measured: TbHfTeO6 after structural relaxation at the GGA-PBE level of DFT.

Space group: P-31c (163)
DOS(E_F): 0.557 states/eV per atom
Formation energy (no corrections): -2474.9 meV/atom

a = 5.4587 Å, b = 5.4587 Å, c = 9.7673 Å
α = 90.00°, β = 90.00°, γ = 120.00°
With the nearest neighbours (Å) after each atom.
Element x y z (fractional)
1 O 0.3508 0.3540 0.8633  1 Te 2.08, 1 Hf 2.10
2 O 0.0033 0.3540 0.6367  1 Te 2.08, 1 Hf 2.10
3 O 0.9967 0.3508 0.1367  1 Te 2.08, 1 Hf 2.10
4 O 0.6492 0.6460 0.1367  1 Te 2.08, 1 Hf 2.10
5 O 0.6460 0.6492 0.6367  1 Te 2.08, 1 Hf 2.10
6 O 0.3508 0.9967 0.6367  1 Te 2.08, 1 Hf 2.10
7 O 0.9967 0.6460 0.3633  1 Te 2.08, 1 Hf 2.10
8 O 0.6492 0.0033 0.3633  1 Te 2.08, 1 Hf 2.10
9 O 0.0033 0.6492 0.8633  1 Te 2.08, 1 Hf 2.10
10 O 0.3540 0.0033 0.1367  1 Te 2.08, 1 Hf 2.10
11 O 0.3540 0.3508 0.3633  1 Te 2.08, 1 Hf 2.10
12 O 0.6460 0.9967 0.8633  1 Te 2.08, 1 Hf 2.10
13 Tb 0.0000 0.0000 0.5000  6 O 2.34
14 Tb 0.0000 0.0000 0.0000  6 O 2.34
15 Hf 0.6667 0.3333 0.7500  6 O 2.10
16 Hf 0.3333 0.6667 0.2500  6 O 2.10
17 Te 0.6667 0.3333 0.2500  6 O 2.08
18 Te 0.3333 0.6667 0.7500  6 O 2.08

# 3
Computed, not measured: TbHfTi2O8 after structural relaxation at the GGA-PBE level of DFT.

Space group: I-4 (82)
DOS(E_F): 0.576 states/eV per atom
Formation energy (no corrections): -3073.1 meV/atom

a = 5.0824 Å, b = 5.0824 Å, c = 6.4827 Å
α = 113.08°, β = 113.08°, γ = 90.00°
With the nearest neighbours (Å) after each atom.
Element x y z (fractional)
1 O 0.9967 0.3955 0.3159  1 Ti 1.85
2 O 0.6820 0.2326 0.8379  1 Ti 1.86
3 O 0.6045 0.6808 0.6841  1 Ti 1.85
4 O 0.3947 0.3180 0.1621  1 Ti 1.86
5 O 0.3192 0.9205 0.3159  1 Ti 1.85
6 O 0.1559 0.6053 0.8379  1 Ti 1.86
7 O 0.7674 0.8441 0.1621  1 Ti 1.86
8 O 0.0795 0.0033 0.6841  1 Ti 1.85
9 Ti 0.2500 0.7500 0.5000  4 O 1.85
10 Ti 0.5000 0.5000 0.0000  4 O 1.86
11 Tb 0.7500 0.2500 0.5000  8 O 2.33-2.38
12 Hf 0.0000 0.0000 0.0000  8 O 2.18-2.24

# 4
Computed, not measured: Hf2TcO after structural relaxation at the GGA-PBE level of DFT.

Space group: I-42d (122)
DOS(E_F): 0.519 states/eV per atom
Formation energy (no corrections): -966.3 meV/atom

a = 6.1837 Å, b = 6.1837 Å, c = 5.6782 Å
α = 57.01°, β = 57.01°, γ = 90.00°
With the nearest neighbours (Å) after each atom.
Element x y z (fractional)
1 Hf 0.8750 0.7979 0.7500  2 O 2.09
2 Hf 0.2021 0.6250 0.2500  2 O 2.09
3 Hf 0.5479 0.1250 0.2500  2 O 2.09
4 Hf 0.3750 0.4521 0.7500  2 O 2.09
5 Tc 0.0000 0.0000 0.0000  4 Hf 2.70
6 Tc 0.7500 0.2500 0.5000  4 Hf 2.70
7 O 0.5000 0.5000 0.0000  4 Hf 2.09
8 O 0.2500 0.7500 0.5000  4 Hf 2.09

# 5
Computed, not measured: Hf2TcO after structural relaxation at the GGA-PBE level of DFT.

Space group: R-3m (166)
DOS(E_F): 0.556 states/eV per atom
Formation energy (no corrections): -760.7 meV/atom

a = 2.9633 Å, b = 2.9633 Å, c = 8.4422 Å
α = 79.89°, β = 79.89°, γ = 60.00°
With the nearest neighbours (Å) after each atom.
Element x y z (fractional)
1 Hf 0.1037 0.1037 0.6889  3 O 2.32, 1 Tc 2.57
2 Hf 0.8963 0.8963 0.3111  3 O 2.32, 1 Tc 2.57
3 O 0.5000 0.5000 0.5000  6 Hf 2.32
4 Tc 0.0000 0.0000 0.0000  2 Hf 2.57

# 6
Computed, not measured: Hf2TcO after structural relaxation at the GGA-PBE level of DFT.

Space group: P4/mmm (123)
DOS(E_F): 0.530 states/eV per atom
Formation energy (no corrections): -838.3 meV/atom

a = 3.0976 Å, b = 3.0976 Å, c = 6.4814 Å
α = 90.00°, β = 90.00°, γ = 90.00°
With the nearest neighbours (Å) after each atom.
Element x y z (fractional)
1 Hf 0.0000 0.0000 0.2469  4 O 2.71, 4 Tc 2.74
2 Hf 0.0000 0.0000 0.7531  4 O 2.71, 4 Tc 2.74
3 Tc 0.5000 0.5000 0.5000  8 Hf 2.74
4 O 0.5000 0.5000 0.0000  8 Hf 2.71

# 7
Computed, not measured: HfTcO3 after structural relaxation at the GGA-PBE level of DFT.

Space group: Pm-3m (221)
DOS(E_F): 0.000 states/eV per atom
Formation energy (no corrections): -1662.1 meV/atom

a = 4.0671 Å, b = 4.0671 Å, c = 4.0671 Å
α = 90.00°, β = 90.00°, γ = 90.00°
With the nearest neighbours (Å) after each atom.
Element x y z (fractional)
1 O 0.0000 0.5000 0.0000  2 Hf 2.03
2 O 0.0000 0.0000 0.5000  2 Hf 2.03
3 O 0.5000 0.0000 0.0000  2 Hf 2.03
4 Hf 0.0000 0.0000 0.0000  6 O 2.03
5 Tc 0.5000 0.5000 0.5000  12 O 2.88

# 8
Computed, not measured: HfTc2O after structural relaxation at the GGA-PBE level of DFT.

Space group: I-42d (122)
DOS(E_F): 0.920 states/eV per atom
Formation energy (no corrections): -383.8 meV/atom

a = 7.1658 Å, b = 7.1658 Å, c = 5.5429 Å
α = 49.73°, β = 49.73°, γ = 90.00°
With the nearest neighbours (Å) after each atom.
Element x y z (fractional)
1 Tc 0.2253 0.6250 0.2500  2 O 2.16
2 Tc 0.3750 0.4753 0.7500  2 O 2.16
3 Tc 0.8750 0.7747 0.7500  2 O 2.16
4 Tc 0.5247 0.1250 0.2500  2 O 2.16
5 Hf 0.0000 0.0000 0.0000  2 O 2.25
6 Hf 0.7500 0.2500 0.5000  2 O 2.25
7 O 0.2500 0.7500 0.5000  4 Tc 2.16, 2 Hf 2.25
8 O 0.5000 0.5000 0.0000  4 Tc 2.16, 2 Hf 2.25

# 9
Computed, not measured: HfTc2O8 after structural relaxation at the GGA-PBE level of DFT.

Space group: C2/m (12)
DOS(E_F): 0.423 states/eV per atom
Formation energy (no corrections): -1718.1 meV/atom

a = 5.3612 Å, b = 6.4096 Å, c = 6.4096 Å
α = 70.71°, β = 83.72°, γ = 83.72°
With the nearest neighbours (Å) after each atom.
Element x y z (fractional)
1 O 0.1904 0.2870 0.9400  1 Tc 1.84
2 O 0.3137 0.8587 0.8587  1 Tc 1.81
3 O 0.6863 0.1413 0.1413  1 Tc 1.81
4 O 0.1904 0.9400 0.2870  1 Tc 1.84
5 O 0.7343 0.6399 0.6399  1 Tc 1.70
6 O 0.8096 0.0600 0.7130  1 Tc 1.84
7 O 0.8096 0.7130 0.0600  1 Tc 1.84
8 O 0.2657 0.3601 0.3601  1 Tc 1.70
9 Tc 0.6477 0.8025 0.8025  4 O 1.70-1.84
10 Tc 0.3523 0.1975 0.1975  4 O 1.70-1.84
11 Hf 0.0000 0.0000 0.0000  6 O 2.08-2.10